# Nd2TmPu3Te6 PBE-GGA relaxed
# Formation energy from raw total energies ... -14.8 eV per formula unit
# Spin magnetization ... 35.61 μB/cell
# Total energy ... -7.557 eV/atom
data_Nd2TmPu3Te6
_cell_length_a 19.376
_cell_length_b 4.411
_cell_length_c 8.907
_cell_angle_alpha 90.00
_cell_angle_beta 103.87
_cell_angle_gamma 90.00
_symmetry_space_group_name_H-M 'C 1 2/m 1'
_symmetry_Int_Tables_number 12
_symmetry_space_group_name_Hall '-C 2y'
loop_
_atom_site_label
_atom_site_fract_x
_atom_site_fract_y
_atom_site_fract_z
Nd1 0.168 0.000 0.337
Tm1 0.000 0.500 0.000
Pu1 0.000 0.500 0.500
Pu2 0.170 0.000 0.836
Te1 0.002 0.000 0.759
Te2 0.163 0.500 0.079
Te3 0.165 0.500 0.589